A plane-wave DFT calculation with PBEsol was carried out for a geometry-optimized V3Fe2TeP6O24 structure.

```
36
Lattice="-5.322 6.179 -1.907 -7.594 -0.200 3.526 -1.661 5.657 5.948" Properties=species:S:1:pos:R:3 pbc="T T T"
O -10.614 6.867 6.213
V -5.184 4.138 2.691
O -9.019 9.141 5.790
P -7.900 8.878 2.266
O -6.504 3.822 4.102
O -8.077 7.775 3.348
O -3.869 3.437 3.852
P -6.723 2.731 5.183
O -5.651 2.533 1.809
O -3.297 6.660 5.118
O -7.711 6.704 5.701
O -11.258 4.887 2.475
O -4.902 8.244 3.959
P -4.054 6.977 3.796
O -7.612 1.610 4.569
O -10.768 8.258 3.777
O -7.660 5.770 8.048
Te -12.415 9.909 6.444
O -5.513 6.686 6.861
Fe -7.275 5.807 3.776
O -7.324 8.216 1.021
O -5.132 5.881 3.579
O -9.840 3.199 3.888
O -6.750 4.971 1.862
O -9.421 5.644 4.036
O -8.902 5.266 0.832
O -4.031 4.847 1.372
O -6.956 9.995 2.906
Fe -0.039 0.031 0.020
P -7.010 6.862 7.081
V -9.374 7.482 4.866
P -7.465 4.853 0.489
O -6.823 5.884 -0.484
V -2.016 1.609 1.047
P -10.522 4.560 3.854
O -7.498 3.492 6.266
```

Computed properties:
Symmetry: R3, No. 146
Crystal system: trigonal
Calculated total energy, hartree per atom: -0.28746
Energy relative to the elements, uncorrected, kJ per mole of atoms: -189